1.
Below is crystalline TeAuS2N at its relaxed geometry, with properties calculated at the PBE level.

## Properties
The crystal system is tetragonal. The value obtained for the density of states at the Fermi level is 1.348 states/eV per atom. The value obtained for the density is 6.6 g/cm³. Its formation energy from raw total energies is 1.2080 eV/atom.

a = 5.1216 Å, b = 5.1216 Å, c = 3.8862 Å
α = 90.00°, β = 90.00°, γ = 90.00°
With the nearest neighbours (Å) after each atom.
Space group P4/mmm (No. 123)
Symmetry-distinct sites (fractional):
Te1 0.0000 0.0000 0.0000 x1  2 N 1.94
Au1 0.5000 0.5000 0.5000 x1  8 S 3.21
S1 0.0000 0.5000 0.0000 x2  2 Te 2.56
N1 0.0000 0.0000 0.5000 x1  2 Te 1.94

2.
Below is crystalline Sm12Tl5Te2 at its relaxed geometry, with properties calculated at the PBE level.

## Properties
The crystal system is monoclinic. The value obtained for the density of states at the Fermi level is 1.105 states/eV per atom. The value obtained for the density is 8.3 g/cm³. Its formation energy from raw total energies is -0.3450 eV/atom.

a = 16.9811 Å, b = 8.4477 Å, c = 8.9582 Å
α = 90.00°, β = 105.48°, γ = 90.00°
With the nearest neighbours (Å) after each atom.
Space group C2/m (No. 12)
Symmetry-distinct sites (fractional):
Sm1 0.0141 0.0000 0.2938 x4  2 Te 3.09, 1 Tl 3.14
Sm2 0.1090 0.5000 0.3406 x4  2 Tl 3.12-3.38, 2 Te 3.19
Sm3 0.1193 0.2016 0.0470 x8  3 Tl 3.12-3.37, 1 Sm 3.41
Sm4 0.1828 0.2234 0.6865 x8  1 Te 3.15, 3 Tl 3.23-3.45
Tl1 0.0000 0.5000 0.0000 x2  6 Sm 3.12-3.19
Tl2 0.2059 0.0000 0.3995 x4  6 Sm 3.14-3.38
Tl3 0.2172 0.5000 0.9970 x4  6 Sm 3.12-3.45
Te1 0.0000 0.2854 0.5000 x4  6 Sm 3.09-3.19

3.
Below is crystalline KSiTc2 at its relaxed geometry, with properties calculated at the PBE level.

## Properties
The crystal system is orthorhombic. The value obtained for the density of states at the Fermi level is 0.794 states/eV per atom. The value obtained for the density is 6.0 g/cm³. Its formation energy from raw total energies is 0.6732 eV/atom.

a = 2.6267 Å, b = 5.3434 Å, c = 10.2971 Å
α = 90.00°, β = 90.00°, γ = 90.00°
With the nearest neighbours (Å) after each atom.
Space group Immm (No. 71)
Symmetry-distinct sites (fractional):
K1 0.0000 0.0000 0.0000 x2  2 K 2.63
Si1 0.0000 0.0000 0.5000 x2  4 Tc 2.46, 2 Si 2.63
Tc1 0.0000 0.5000 0.2023 x4  2 Si 2.46, 2 Tc 2.63

4.
Below is crystalline BeAl2Hg at its relaxed geometry, with properties calculated at the PBE level.

## Properties
The crystal system is cubic. The value obtained for the density of states at the Fermi level is 0.523 states/eV per atom. The value obtained for the density is 6.4 g/cm³. As for the formation energy: 0.484 eV/atom.

a = 6.5003 Å, b = 6.5003 Å, c = 6.5003 Å
α = 90.00°, β = 90.00°, γ = 90.00°
With the nearest neighbours (Å) after each atom.
Space group Fm-3m (No. 225)
Symmetry-distinct sites (fractional):
Be1 0.0000 0.0000 0.0000 x4  8 Al 2.81
Al1 0.2500 0.2500 0.2500 x8  4 Hg 2.81, 4 Be 2.81
Hg1 0.0000 0.0000 0.5000 x4  8 Al 2.81

5.
Below is crystalline CuGePd3 at its relaxed geometry, with properties calculated at the PBE level.

## Properties
The crystal system is monoclinic. The value obtained for the density of states at the Fermi level is 0.546 states/eV per atom. The value obtained for the density is 9.8 g/cm³. As for the formation energy: -0.267 eV/atom.

a = 9.8853 Å, b = 8.6241 Å, c = 7.2426 Å
α = 90.00°, β = 90.41°, γ = 90.00°
With the nearest neighbours (Å) after each atom.
Space group C2/c (No. 15)
Symmetry-distinct sites (fractional):
Cu1 0.2043 0.1274 0.4283 x8  1 Cu 2.52, 5 Pd 2.56-2.68
Ge1 0.0000 0.1540 0.7500 x4  8 Pd 2.47-2.66
Ge2 0.0000 0.3578 0.2500 x4  8 Pd 2.49-2.75
Pd1 0.0859 0.1072 0.0952 x8  3 Ge 2.58-2.66, 3 Cu 2.64-2.88, 4 Pd 2.81-2.87
Pd2 0.0994 0.4033 0.9005 x8  3 Ge 2.53-2.75, 1 Pd 2.77
Pd3 0.2489 0.1396 0.7810 x8  2 Ge 2.47-2.49, 3 Cu 2.56-2.59, 1 Pd 2.77

6.
Below is crystalline Dy3Al3Cu2 at its relaxed geometry, with properties calculated at the PBE level.

## Properties
The crystal system is orthorhombic. The value obtained for the density of states at the Fermi level is 1.072 states/eV per atom. The value obtained for the density is 6.9 g/cm³. As for the formation energy: -0.381 eV/atom.

a = 8.0495 Å, b = 14.7318 Å, c = 5.6317 Å
α = 90.00°, β = 90.00°, γ = 90.00°
With the nearest neighbours (Å) after each atom.
Space group Pnma (No. 62)
Symmetry-distinct sites (fractional):
Dy1 0.0383 0.1115 0.1187 x8  3 Cu 3.00-3.23, 7 Al 3.07-3.30
Dy2 0.1839 0.2500 0.6136 x4  5 Al 2.99-3.15, 4 Cu 3.12-3.14
Al1 0.1687 0.7500 0.6016 x4  2 Cu 2.55
Al2 0.1881 0.0359 0.6112 x8  3 Cu 2.50-2.56
Cu1 0.0978 0.6047 0.3764 x8  4 Al 2.50-2.56